(1)
DFT (GGA-PBE) results for a relaxed Rb2ScGe2O6 crystal.

Output
- Raw total energy: -68.919 eV for the cell shown
- Formation energy from raw total energies: -1.9698 eV/atom

a b c (Å): 5.9526 5.9516 6.8051
angles (deg): 115.86 90.00 120.01
Closest atoms and distances in Å follow each position.
Atoms (fractional coordinates):
Rb1 0.2832 0.5663 0.8467  9 O 3.07-3.14
Rb2 0.7168 0.4337 0.1533  9 O 3.07-3.14
Sc1 0.5000 0.0000 0.5000  6 O 2.13
O1 0.2615 0.5230 0.2913  1 Ge 1.75
O2 0.7385 0.4770 0.7087  1 Ge 1.75
O3 0.2396 0.9806 0.7159  1 Ge 1.75
O4 0.7411 0.9806 0.7159  1 Ge 1.75
O5 0.7604 0.0194 0.2841  1 Ge 1.75
O6 0.2589 0.0194 0.2841  1 Ge 1.75
Ge1 0.9251 0.8501 0.7716  3 O 1.75
Ge2 0.0749 0.1499 0.2284  3 O 1.75

(2)
DFT (GGA-PBE) results for a relaxed RbGeSe2O8 crystal.

Output
- Raw total energy: -63.576 eV for the cell shown
- Formation energy from raw total energies: -0.9464 eV/atom

a b c (Å): 5.1287 5.1287 8.4802
angles (deg): 85.47 85.47 65.97
Closest atoms and distances in Å follow each position.
Atoms (fractional coordinates):
O1 0.2580 0.7695 0.1687  1 Se 1.75
O2 0.7700 0.7700 0.0371  1 Se 1.71
O3 0.7420 0.2305 0.8313  1 Se 1.75
O4 0.2305 0.7420 0.8313  1 Se 1.75
O5 0.7695 0.2580 0.1687  1 Se 1.75
O6 0.6865 0.6865 0.3702  1 Se 1.65
O7 0.2300 0.2300 0.9629  1 Se 1.71
O8 0.3135 0.3135 0.6298  1 Se 1.65
Se1 0.3732 0.3732 0.8093  4 O 1.65-1.75
Se2 0.6268 0.6268 0.1907  4 O 1.65-1.75
Ge1 0.0000 0.0000 0.0000  6 O 1.97-1.99
Rb1 0.0000 0.0000 0.5000  10 O 3.01-3.35

(3)
DFT (GGA-PBE) results for a relaxed RbSmGeO4 crystal.

Output
- Raw total energy: -93.155 eV for the cell shown
- Formation energy from raw total energies: -2.3487 eV/atom

a b c (Å): 5.8789 5.9619 7.7565
angles (deg): 90.00 107.25 90.00
Closest atoms and distances in Å follow each position.
Atoms (fractional coordinates):
Rb1 0.3117 0.2500 0.0710  2 O 2.77-2.89
Rb2 0.6883 0.7500 0.9290  2 O 2.77-2.89
O1 0.0466 0.9775 0.3225  1 Ge 1.80
O2 0.9534 0.4775 0.6775  1 Ge 1.80
O3 0.4532 0.7500 0.5621  1 Ge 1.78
O4 0.5468 0.2500 0.4379  1 Ge 1.78
O5 0.5578 0.2500 0.7993  1 Ge 1.76
O6 0.0466 0.5225 0.3225  1 Ge 1.80
O7 0.9534 0.0225 0.6775  1 Ge 1.80
O8 0.4422 0.7500 0.2007  1 Ge 1.76
Sm1 0.2083 0.2500 0.5414  6 O 2.34-2.48
Sm2 0.7917 0.7500 0.4586  6 O 2.34-2.48
Ge1 0.7468 0.2500 0.6603  4 O 1.76-1.80
Ge2 0.2532 0.7500 0.3397  4 O 1.76-1.80

(4)
DFT (GGA-PBE) results for a relaxed Rb2SmGe2O6 crystal.

Output
- Raw total energy: -67.643 eV for the cell shown
- Formation energy from raw total energies: -2.0004 eV/atom

a b c (Å): 6.1751 6.1724 7.1401
angles (deg): 116.29 90.00 120.01
Closest atoms and distances in Å follow each position.
Atoms (fractional coordinates):
O1 0.2506 0.0229 0.7447  1 Ge 1.75
O2 0.7527 0.5053 0.6834  1 Ge 1.75
O3 0.2277 0.9771 0.2553  1 Ge 1.75
O4 0.2473 0.4947 0.3166  1 Ge 1.75
O5 0.7723 0.0229 0.7447  1 Ge 1.75
O6 0.7494 0.9771 0.2553  1 Ge 1.75
Sm1 0.5000 0.0000 0.5000  6 O 2.32-2.33
Ge1 0.9398 0.8796 0.7846  3 O 1.75
Ge2 0.0602 0.1204 0.2154  3 O 1.75
Rb1 0.2884 0.5769 0.8365  8 O 3.06-3.23
Rb2 0.7116 0.4231 0.1635  8 O 3.06-3.23

(5)
DFT (GGA-PBE) results for a relaxed Rb2SmGeO4 crystal.

Output
- Raw total energy: -46.492 eV for the cell shown
- Formation energy from raw total energies: -1.9235 eV/atom

a b c (Å): 6.3658 6.3658 6.3658
angles (deg): 85.84 122.43 122.43
Closest atoms and distances in Å follow each position.
Atoms (fractional coordinates):
O1 0.8853 0.4975 0.1649  1 Ge 1.85
O2 0.3326 0.8351 0.7204  1 Ge 1.85
O3 0.1147 0.2796 0.6121  1 Ge 1.85
O4 0.6674 0.3879 0.5025  1 Ge 1.85
Sm1 0.5000 0.2500 0.7500  4 O 2.23
Rb1 0.0000 0.0000 0.0000  4 O 3.11
Rb2 0.5000 0.7500 0.2500  4 O 3.05
Ge1 0.0000 0.5000 0.5000  4 O 1.85

(6)
DFT (GGA-PBE) results for a relaxed Rb2SnGe2O6 crystal.

Output
- Raw total energy: -62.406 eV for the cell shown
- Formation energy from raw total energies: -1.5895 eV/atom

a b c (Å): 5.8790 5.8790 6.8331
angles (deg): 64.52 64.52 60.00
Closest atoms and distances in Å follow each position.
Atoms (fractional coordinates):
O1 0.7647 0.2571 0.2136  1 Ge 1.78
O2 0.7647 0.7647 0.2136  1 Ge 1.78
O3 0.7429 0.2353 0.7864  1 Ge 1.78
O4 0.2353 0.7429 0.7864  1 Ge 1.78
O5 0.2571 0.7647 0.2136  1 Ge 1.78
O6 0.2353 0.2353 0.7864  1 Ge 1.78
Rb1 0.2195 0.2195 0.3416  9 O 3.04-3.12
Rb2 0.7805 0.7805 0.6584  9 O 3.04-3.12
Ge1 0.4301 0.4301 0.7098  3 O 1.78
Ge2 0.5699 0.5699 0.2902  3 O 1.78
Sn1 0.0000 0.0000 0.0000  6 O 2.10

Question: Among the records above, which one has the lowest formation energy from raw total energies?
Answer: RbSmGeO4

Question: Which value of formation energy from raw total energies does entry 5 give?
Answer: -1.9235 eV/atom

Question: Which formula does entry 6 have?
Answer: Rb2SnGe2O6